1.
# DyAsO4 PBE optimized geometry
data_DyAsO4
_cell_length_a 7.152
_cell_length_b 7.152
_cell_length_c 6.360
_cell_angle_alpha 90.00
_cell_angle_beta 90.00
_cell_angle_gamma 90.00
_space_group_name_H-M_alt 'I 41/a m d'
_space_group_IT_number 141
loop_
_space_group_symop_operation_xyz
'x,y,z'
'-x,-y,-z'
'-y+1/4,x+3/4,z+1/4'
'y+1/4,-x+3/4,-z+1/4'
'-x+1/2,-y,z+1/2'
'x+1/2,y,-z+1/2'
'y+1/4,-x+1/4,z+3/4'
'-y+1/4,x+1/4,-z+3/4'
'x,-y,-z'
'-x,y,z'
'-y+1/4,-x+1/4,-z+3/4'
'y+1/4,x+1/4,z+3/4'
'-x+1/2,y,-z+1/2'
'x+1/2,-y,z+1/2'
'y+1/4,x+3/4,-z+1/4'
'-y+1/4,-x+3/4,z+1/4'
'x+1/2,y+1/2,z+1/2'
'-x+1/2,-y+1/2,-z+1/2'
'-y+3/4,x+1/4,z+3/4'
'y+3/4,-x+1/4,-z+3/4'
'-x,-y+1/2,z'
'x,y+1/2,-z'
'y+3/4,-x+3/4,z+1/4'
'-y+3/4,x+3/4,-z+1/4'
'x+1/2,-y+1/2,-z+1/2'
'-x+1/2,y+1/2,z+1/2'
'-y+3/4,-x+3/4,-z+1/4'
'y+3/4,x+3/4,z+1/4'
'-x,y+1/2,-z'
'x,-y+1/2,z'
'y+3/4,x+1/4,-z+3/4'
'-y+3/4,-x+1/4,z+3/4'
loop_
_atom_site_label
_atom_site_fract_x
_atom_site_fract_y
_atom_site_fract_z
Dy1 0.000 0.250 0.375
As1 0.000 0.250 0.875
O1 0.000 0.068 0.698
# Uncorrected formation energy ... -2.384 eV per atom



2.
# BeFeH PBE optimized geometry
data_BeFeH
_cell_length_a 3.947
_cell_length_b 2.602
_cell_length_c 3.947
_cell_angle_alpha 90.00
_cell_angle_beta 93.51
_cell_angle_gamma 90.00
_space_group_name_H-M_alt 'P 1 2/m 1'
_space_group_IT_number 10
loop_
_space_group_symop_operation_xyz
'x,y,z'
'-x,-y,-z'
'-x,y,-z'
'x,-y,z'
loop_
_atom_site_label
_atom_site_fract_x
_atom_site_fract_y
_atom_site_fract_z
Be1 0.187 0.000 0.275
Fe1 0.304 0.500 0.737
H1 0.000 0.500 0.000
H2 0.500 0.000 0.000
# Electronic total energy ... -5.1753 eV/atom